An optimized crystal structure of MnCd3F. Source: the Alexandria database, functional PBE+U.

Cell and atoms, written as extended XYZ:
```
5
Lattice="4.8141 0.0000 0.0000 0.0000 4.8141 0.0000 0.0000 0.0000 4.8141" Properties=species:S:1:pos:R:3 pbc="T T T"
Mn 0.0000 0.0000 0.0000
Cd 0.0000 2.4071 2.4071
Cd 2.4071 0.0000 2.4071
Cd 2.4071 2.4071 0.0000
F 2.4071 2.4071 2.4071
```

Spin magnetization, μB per formula unit: 4.629
Total DFT energy (no corrections), eV per atom: -2.5586
Calculated density, g cm⁻³: 6.12